## SiH2Pt2 (GGA-PBEsol)

Data for a relaxed SiH2Pt2 crystal.

```
SiH2Pt2
1.0
-1.017 -1.179 -2.246
5.775 -1.068 -2.055
0.009 -5.511 2.889
Pt H Si
4 4 2
Cartesian
1.156 -5.233 0.561
3.611 -2.525 -1.973
0.724 -2.399 -0.731
4.043 -5.359 -0.680
5.259 -4.224 -0.164
2.375 -5.451 1.786
0.525 -2.354 0.998
3.410 -1.128 -0.952
0.000 0.000 0.000
2.892 -3.289 0.417
```

Summary:
DOS at the Fermi energy: 0.28 states/eV/atom
Space group: P4/mbm (127)
Energy: -5.296 eV per atom

---

## MgCoRu2 (GGA-PBEsol)

Data for a relaxed MgCoRu2 crystal.

```
MgCoRu2
1.0
2.644 0.000 0.000
0.000 2.644 0.000
0.000 0.000 7.626
Mg Ru Co
1 2 1
Cartesian
1.322 1.322 3.813
0.000 0.000 5.940
0.000 0.000 1.686
1.322 1.322 0.000
```

Summary:
DOS at the Fermi energy: 1.15 states/eV/atom
Space group: P4/mmm (123)
Formation energy from the elements: 0.227 eV per atom
Energy: -7.223 eV per atom